# Sn2BiAu

Crystalline Sn2BiAu at its relaxed geometry (PBE, Alexandria).

Unit cell a=4.3441 b=4.3441 c=20.6136 alpha=90.00 beta=90.00 gamma=120.00
Last column: nearest neighbours and their distance in Å.
Element x y z (fractional)
Sn 0.0000 0.0000 0.0000  3 Au 2.88, 3 Bi 3.21
Sn 0.0000 0.0000 0.1975  3 Au 2.87
Sn 0.3333 0.6667 0.6667  3 Au 2.88, 3 Bi 3.21
Sn 0.3333 0.6667 0.8641  3 Au 2.87
Sn 0.6667 0.3333 0.3333  3 Au 2.88, 3 Bi 3.21
Sn 0.6667 0.3333 0.5308  3 Au 2.87
Bi 0.0000 0.0000 0.7642  6 Sn 3.21-3.25, 1 Au 3.43
Bi 0.3333 0.6667 0.4309  6 Sn 3.21-3.25, 1 Au 3.43
Bi 0.6667 0.3333 0.0976  6 Sn 3.21-3.25, 1 Au 3.43
Au 0.0000 0.0000 0.5980  6 Sn 2.87-2.88
Au 0.3333 0.6667 0.2647  6 Sn 2.87-2.88
Au 0.6667 0.3333 0.9314  6 Sn 2.87-2.88

Values from the calculation:
space group = R3m (160)
electronic total energy = -45.83 eV for the cell shown
DOS(E_F) = 6.2 states/eV per cell
crystal system = trigonal